P) # TaBe2Fe2

An optimized crystal structure of TaBe2Fe2 (PBE, Alexandria via LeMat-Bulk).

a = 6.4341 Å, b = 6.4341 Å, c = 2.6766 Å
α = 90.00°, β = 90.00°, γ = 90.00°
Space group P4/mbm (No. 127)
Symmetry-distinct sites (fractional):
Ta: 0.0000 0.0000 0.0000 x2
Be: 0.1525 0.3475 0.5000 x4
Fe: 0.1387 0.6387 0.0000 x4

Properties
V = 11.08 A^3/atom
Magnetic moment = 1.6 Bohr magnetons per cell

---

Q) # TaBe2Fe2

An optimized crystal structure of TaBe2Fe2 (PBE, Alexandria via LeMat-Bulk).

a = 6.2650 Å, b = 6.2650 Å, c = 2.7456 Å
α = 90.00°, β = 90.00°, γ = 90.00°
Space group P4/mbm (No. 127)
Symmetry-distinct sites (fractional):
Ta: 0.0000 0.0000 0.0000 x2
Be: 0.1170 0.3830 0.0000 x4
Fe: 0.1732 0.6732 0.5000 x4

Properties
V = 10.78 A^3/atom
Magnetic moment = 0.0 Bohr magnetons per cell

---

Computed stability ranking, most favorable first: Q), P)

---

P) # TaBeFe3

An optimized crystal structure of TaBeFe3 (PBE, Alexandria via LeMat-Bulk).

a = 3.8553 Å, b = 3.8553 Å, c = 3.8553 Å
α = 90.00°, β = 90.00°, γ = 90.00°
Space group Pm-3m (No. 221)
Symmetry-distinct sites (fractional):
Ta: 0.0000 0.0000 0.0000 x1
Be: 0.5000 0.5000 0.5000 x1
Fe: 0.0000 0.5000 0.5000 x3

Properties
V = 11.46 A^3/atom
Magnetic moment = 0.0 Bohr magnetons per cell

---

Q) # TaBeFe3

An optimized crystal structure of TaBeFe3 (PBE, Alexandria via LeMat-Bulk).

a = 4.4869 Å, b = 4.4869 Å, c = 4.4869 Å
α = 90.00°, β = 90.00°, γ = 90.00°
Space group Pm-3m (No. 221)
Symmetry-distinct sites (fractional):
Ta: 0.0000 0.0000 0.0000 x1
Be: 0.5000 0.5000 0.5000 x1
Fe: 0.0000 0.0000 0.5000 x3

Properties
V = 18.07 A^3/atom
Magnetic moment = 4.6 Bohr magnetons per cell

---

Computed stability ranking, most favorable first: P), Q)

---

P) # Be2FeTc

An optimized crystal structure of Be2FeTc (PBE, Alexandria via LeMat-Bulk).

a = 5.5132 Å, b = 5.5132 Å, c = 5.5132 Å
α = 90.00°, β = 90.00°, γ = 90.00°
Space group Fm-3m (No. 225)
Symmetry-distinct sites (fractional):
Be: 0.2500 0.2500 0.2500 x8
Fe: 0.0000 0.0000 0.0000 x4
Tc: 0.0000 0.0000 0.5000 x4

Properties
V = 10.47 A^3/atom
Magnetic moment = 12.5 Bohr magnetons per cell

---

Q) # Be2FeTc

An optimized crystal structure of Be2FeTc (PBE, Alexandria via LeMat-Bulk).

a = 3.2179 Å, b = 3.0406 Å, c = 8.4765 Å
α = 90.00°, β = 90.00°, γ = 90.00°
Space group Amm2 (No. 38)
Symmetry-distinct sites (fractional):
Be: 0.0000 0.0000 0.0000 x2
Be: 0.5000 0.0000 0.1488 x2
Fe: 0.0000 0.0000 0.7231 x2
Tc: 0.5000 0.0000 0.4231 x2

Properties
V = 10.37 A^3/atom
Magnetic moment = 5.3 Bohr magnetons per cell

---

Computed stability ranking, most favorable first: Q), P)

---

P) # Be2FeTc

An optimized crystal structure of Be2FeTc (PBE, Alexandria via LeMat-Bulk).

a = 3.8832 Å, b = 3.8832 Å, c = 5.5267 Å
α = 90.00°, β = 90.00°, γ = 90.00°
Space group I-4m2 (No. 119)
Symmetry-distinct sites (fractional):
Be: 0.0000 0.0000 0.0000 x2
Be: 0.0000 0.5000 0.2500 x2
Fe: 0.0000 0.5000 0.7500 x2
Tc: 0.0000 0.0000 0.5000 x2

Properties
V = 10.42 A^3/atom
Magnetic moment = 0.0 Bohr magnetons per cell

---

Q) # Be2FeTc

An optimized crystal structure of Be2FeTc (PBE, Alexandria via LeMat-Bulk).

a = 7.8133 Å, b = 2.4784 Å, c = 4.5911 Å
α = 90.00°, β = 97.94°, γ = 90.00°
Space group C2/m (No. 12)
Symmetry-distinct sites (fractional):
Be: 0.2465 0.0000 0.2328 x4
Fe: 0.0000 0.5000 0.0000 x2
Tc: 0.0000 0.0000 0.5000 x2

Properties
V = 11.01 A^3/atom
Magnetic moment = 4.0 Bohr magnetons per cell

---

R) # Be2FeTc

An optimized crystal structure of Be2FeTc (PBE, Alexandria via LeMat-Bulk).

a = 2.6831 Å, b = 2.6831 Å, c = 5.6774 Å
α = 90.00°, β = 90.00°, γ = 90.00°
Space group P4mm (No. 99)
Symmetry-distinct sites (fractional):
Be: 0.0000 0.0000 0.0000 x1
Be: 0.5000 0.5000 0.2017 x1
Fe: 0.0000 0.0000 0.4276 x1
Tc: 0.5000 0.5000 0.7083 x1

Properties
V = 10.22 A^3/atom
Magnetic moment = 0.0 Bohr magnetons per cell

---

Computed stability ranking, most favorable first: R), P), Q)

---

P) # Be2FeTc

An optimized crystal structure of Be2FeTc (PBE, Alexandria via LeMat-Bulk).

a = 2.5854 Å, b = 2.5854 Å, c = 23.2670 Å
α = 90.00°, β = 90.00°, γ = 120.00°
Space group R-3m (No. 166, hexagonal axes)
Symmetry-distinct sites (fractional):
Be: 0.0000 0.0000 0.2463 x6
Fe: 0.0000 0.0000 0.5000 x3
Tc: 0.0000 0.0000 0.0000 x3

Properties
V = 11.22 A^3/atom
Magnetic moment = 5.7 Bohr magnetons per cell

---

Q) # Be2FeTc

An optimized crystal structure of Be2FeTc (PBE, Alexandria via LeMat-Bulk).

a = 2.7860 Å, b = 3.8210 Å, c = 7.6705 Å
α = 90.00°, β = 90.00°, γ = 90.00°
Space group Imm2 (No. 44)
Symmetry-distinct sites (fractional):
Be: 0.0000 0.0000 0.0000 x2
Be: 0.0000 0.5000 0.2789 x2
Fe: 0.0000 0.5000 0.7490 x2
Tc: 0.0000 0.0000 0.5172 x2

Properties
V = 10.21 A^3/atom
Magnetic moment = 0.0 Bohr magnetons per cell

---

Computed stability ranking, most favorable first: Q), P)

---

P) # Be2FeTc

An optimized crystal structure of Be2FeTc (PBE, Alexandria via LeMat-Bulk).

a = 3.6691 Å, b = 3.6691 Å, c = 3.1813 Å
α = 90.00°, β = 90.00°, γ = 90.00°
Space group P4/mmm (No. 123)
Symmetry-distinct sites (fractional):
Be: 0.0000 0.5000 0.0000 x2
Fe: 0.0000 0.0000 0.5000 x1
Tc: 0.5000 0.5000 0.5000 x1

Properties
V = 10.71 A^3/atom
Magnetic moment = 3.3 Bohr magnetons per cell

---

Q) # Be2FeTc

An optimized crystal structure of Be2FeTc (PBE, Alexandria via LeMat-Bulk).

a = 5.9711 Å, b = 5.9711 Å, c = 4.8957 Å
α = 90.00°, β = 90.00°, γ = 90.00°
Space group I-42d (No. 122)
Symmetry-distinct sites (fractional):
Be: 0.2344 0.2500 0.1250 x8
Fe: 0.0000 0.0000 0.0000 x4
Tc: 0.0000 0.0000 0.5000 x4

Properties
V = 10.91 A^3/atom
Magnetic moment = 7.9 Bohr magnetons per cell

---

R) # Be2FeTc

An optimized crystal structure of Be2FeTc (PBE, Alexandria via LeMat-Bulk).

a = 2.5024 Å, b = 3.0177 Å, c = 5.5206 Å
α = 90.00°, β = 90.14°, γ = 90.00°
Space group P2/m (No. 10)
Symmetry-distinct sites (fractional):
Be: 0.0004 0.0000 0.2249 x2
Fe: 0.5000 0.5000 0.0000 x1
Tc: 0.5000 0.5000 0.5000 x1

Properties
V = 10.42 A^3/atom
Magnetic moment = 2.2 Bohr magnetons per cell

---

Computed stability ranking, most favorable first: P), R), Q)

---

P) # BeFe3Tc

An optimized crystal structure of BeFe3Tc (PBE, Alexandria via LeMat-Bulk).

a = 4.4149 Å, b = 4.4149 Å, c = 4.4149 Å
α = 90.00°, β = 90.00°, γ = 90.00°
Space group Pm-3m (No. 221)
Symmetry-distinct sites (fractional):
Be: 0.0000 0.0000 0.0000 x1
Fe: 0.0000 0.5000 0.5000 x3
Tc: 0.5000 0.5000 0.5000 x1

Properties
V = 17.21 A^3/atom
Magnetic moment = 5.1 Bohr magnetons per cell

---

Q) # BeFe3Tc

An optimized crystal structure of BeFe3Tc (PBE, Alexandria via LeMat-Bulk).

a = 3.7994 Å, b = 3.7994 Å, c = 3.7994 Å
α = 90.00°, β = 90.00°, γ = 90.00°
Space group Pm-3m (No. 221)
Symmetry-distinct sites (fractional):
Be: 0.0000 0.0000 0.0000 x1
Fe: 0.0000 0.0000 0.5000 x3
Tc: 0.5000 0.5000 0.5000 x1

Properties
V = 10.97 A^3/atom
Magnetic moment = 0.1 Bohr magnetons per cell

---

Computed stability ranking, most favorable first: Q), P)

---

P) # BeFeTc

An optimized crystal structure of BeFeTc (PBE, Alexandria via LeMat-Bulk).

a = 2.7324 Å, b = 2.7324 Å, c = 8.7100 Å
α = 90.00°, β = 90.00°, γ = 90.00°
Space group I4mm (No. 107)
Symmetry-distinct sites (fractional):
Be: 0.0000 0.0000 0.0000 x2
Fe: 0.0000 0.0000 0.3603 x2
Tc: 0.0000 0.0000 0.6810 x2

Properties
V = 10.84 A^3/atom
Magnetic moment = 0.0 Bohr magnetons per cell

---

Q) # BeFeTc

An optimized crystal structure of BeFeTc (PBE, Alexandria via LeMat-Bulk).

a = 3.8016 Å, b = 4.8757 Å, c = 8.9804 Å
α = 90.00°, β = 90.00°, γ = 90.00°
Space group Amm2 (No. 38)
Symmetry-distinct sites (fractional):
Be: 0.0000 0.0000 0.0000 x2
Be: 0.5000 0.0000 0.3540 x2
Fe: 0.0000 0.0000 0.5053 x2
Fe: 0.5000 0.0000 0.8533 x2
Tc: 0.0000 0.2428 0.2443 x4

Properties
V = 13.87 A^3/atom
Magnetic moment = 7.4 Bohr magnetons per cell

---

Computed stability ranking, most favorable first: P), Q)

---

P) # BeFeTc

An optimized crystal structure of BeFeTc (PBE, Alexandria via LeMat-Bulk).

a = 5.3497 Å, b = 5.3497 Å, c = 5.3497 Å
α = 90.00°, β = 90.00°, γ = 90.00°
Space group F-43m (No. 216)
Symmetry-distinct sites (fractional):
Be: 0.0000 0.0000 0.0000 x4
Fe: 0.2500 0.2500 0.2500 x4
Tc: 0.0000 0.0000 0.5000 x4

Properties
V = 12.76 A^3/atom
Magnetic moment = 2.6 Bohr magnetons per cell

---

Q) # BeFeTc

An optimized crystal structure of BeFeTc (PBE, Alexandria via LeMat-Bulk).

a = 3.8486 Å, b = 3.8486 Å, c = 2.5942 Å
α = 90.00°, β = 90.00°, γ = 120.00°
Space group P3m1 (No. 156)
Symmetry-distinct sites (fractional):
Be: 0.0000 0.0000 0.0000 x1
Fe: 0.6667 0.3333 0.1506 x1
Tc: 0.3333 0.6667 0.5498 x1

Properties
V = 11.09 A^3/atom
Magnetic moment = 0.0 Bohr magnetons per cell

---

Computed stability ranking, most favorable first: Q), P)

---

P) # Be3FeTc

An optimized crystal structure of Be3FeTc (PBE, Alexandria via LeMat-Bulk).

a = 4.1112 Å, b = 4.1112 Å, c = 4.1112 Å
α = 90.00°, β = 90.00°, γ = 90.00°
Space group Pm-3m (No. 221)
Symmetry-distinct sites (fractional):
Be: 0.0000 0.0000 0.5000 x3
Fe: 0.5000 0.5000 0.5000 x1
Tc: 0.0000 0.0000 0.0000 x1

Properties
V = 13.90 A^3/atom
Magnetic moment = 3.5 Bohr magnetons per cell

---

Q) # Be3FeTc

An optimized crystal structure of Be3FeTc (PBE, Alexandria via LeMat-Bulk).

a = 3.8055 Å, b = 3.8055 Å, c = 3.8055 Å
α = 90.00°, β = 90.00°, γ = 90.00°
Space group Pm-3m (No. 221)
Symmetry-distinct sites (fractional):
Be: 0.0000 0.0000 0.5000 x3
Fe: 0.0000 0.0000 0.0000 x1
Tc: 0.5000 0.5000 0.5000 x1

Properties
V = 11.02 A^3/atom
Magnetic moment = 2.0 Bohr magnetons per cell

---

Computed stability ranking, most favorable first: Q), P)

---

P) # BeFe2Te

An optimized crystal structure of BeFe2Te (PBE, Alexandria via LeMat-Bulk).

a = 5.7704 Å, b = 5.7704 Å, c = 5.7704 Å
α = 90.00°, β = 90.00°, γ = 90.00°
Space group Fm-3m (No. 225)
Symmetry-distinct sites (fractional):
Be: 0.0000 0.0000 0.0000 x4
Fe: 0.2500 0.2500 0.2500 x8
Te: 0.0000 0.0000 0.5000 x4

Properties
V = 12.01 A^3/atom
Magnetic moment = 0.0 Bohr magnetons per cell

---

Q) # BeFe2Te

An optimized crystal structure of BeFe2Te (PBE, Alexandria via LeMat-Bulk).

a = 6.0089 Å, b = 6.0089 Å, c = 6.0089 Å
α = 90.00°, β = 90.00°, γ = 90.00°
Space group F-43m (No. 216)
Symmetry-distinct sites (fractional):
Be: 0.0000 0.0000 0.0000 x4
Fe: 0.0000 0.0000 0.5000 x4
Fe: 0.2500 0.2500 0.7500 x4
Te: 0.2500 0.2500 0.2500 x4

Properties
V = 13.56 A^3/atom
Magnetic moment = 16.6 Bohr magnetons per cell

---

Computed stability ranking, most favorable first: P), Q)

---

P) # Be3FeTe

An optimized crystal structure of Be3FeTe (PBE, Alexandria via LeMat-Bulk).

a = 4.6075 Å, b = 4.6075 Å, c = 4.6075 Å
α = 90.00°, β = 90.00°, γ = 90.00°
Space group Pm-3m (No. 221)
Symmetry-distinct sites (fractional):
Be: 0.0000 0.0000 0.5000 x3
Fe: 0.5000 0.5000 0.5000 x1
Te: 0.0000 0.0000 0.0000 x1

Properties
V = 19.56 A^3/atom
Magnetic moment = 3.2 Bohr magnetons per cell

---

Q) # Be3FeTe

An optimized crystal structure of Be3FeTe (PBE, Alexandria via LeMat-Bulk).

a = 4.1109 Å, b = 4.1109 Å, c = 4.1109 Å
α = 90.00°, β = 90.00°, γ = 90.00°
Space group Pm-3m (No. 221)
Symmetry-distinct sites (fractional):
Be: 0.0000 0.0000 0.5000 x3
Fe: 0.0000 0.0000 0.0000 x1
Te: 0.5000 0.5000 0.5000 x1

Properties
V = 13.89 A^3/atom
Magnetic moment = 0.0 Bohr magnetons per cell

---

Computed stability ranking, most favorable first: Q), P)

---

P) # ThBeFe

An optimized crystal structure of ThBeFe (PBE, Alexandria via LeMat-Bulk).

a = 4.0544 Å, b = 4.0544 Å, c = 6.2797 Å
α = 90.00°, β = 90.00°, γ = 90.00°
Space group P4/nmm (No. 129, origin choice 2)
Symmetry-distinct sites (fractional):
Th: 0.2500 0.2500 0.1913 x2
Be: 0.2500 0.2500 0.6537 x2
Fe: 0.2500 0.7500 0.5000 x2

Properties
V = 17.20 A^3/atom
Magnetic moment = 0.0 Bohr magnetons per cell

---

Q) # ThBeFe

An optimized crystal structure of ThBeFe (PBE, Alexandria via LeMat-Bulk).

a = 3.9036 Å, b = 3.9036 Å, c = 3.9165 Å
α = 90.00°, β = 90.00°, γ = 120.00°
Space group P-6m2 (No. 187)
Symmetry-distinct sites (fractional):
Th: 0.0000 0.0000 0.0000 x1
Be: 0.6667 0.3333 0.5000 x1
Fe: 0.3333 0.6667 0.5000 x1

Properties
V = 17.23 A^3/atom
Magnetic moment = 0.0 Bohr magnetons per cell

---

Computed stability ranking, most favorable first: P), Q)